(1)
A relaxed structure of YTaIn2Te. Source: Alexandria via LeMat-Bulk, functional GGA-PBE.

Cell lengths 5.460, 5.460, 5.399 Å; angles 90.00, 90.00, 90.00 degrees
Element x y z (fractional)
Y1 0.000 0.000 0.000
Ta1 0.000 0.000 0.500
In1 0.000 0.500 0.500
In2 0.500 0.000 0.500
Te1 0.500 0.500 0.000

Calculated values
Its symmetry is P4/mmm. The value obtained for the raw formation energy is 0.52 eV per atom. The value obtained for the density of states at the Fermi level is 4.0 states/eV/f.u. For the total magnetic moment, the calculation gives 0.00 Bohr magnetons per cell.



(2)
A relaxed structure of SiMo2Rh. Source: Alexandria via LeMat-Bulk, functional GGA-PBE.

Cell lengths 4.618, 4.618, 2.762 Å; angles 90.00, 90.00, 90.00 degrees
Element x y z (fractional)
Si1 0.000 0.000 0.000
Mo1 0.000 0.500 0.500
Mo2 0.500 0.000 0.500
Rh1 0.500 0.500 0.000

Calculated values
Its symmetry is P4/mmm. The value obtained for the raw formation energy is -0.04 eV per atom. The value obtained for the density of states at the Fermi level is 4.4 states/eV/f.u. For the total magnetic moment, the calculation gives 0.00 Bohr magnetons per cell.



(3)
A relaxed structure of Mn3AuI. Source: Alexandria via LeMat-Bulk, functional GGA-PBE.

Cell lengths 5.085, 5.085, 5.085 Å; angles 90.00, 90.00, 90.00 degrees
Element x y z (fractional)
Mn1 0.000 0.000 0.500
Mn2 0.000 0.500 0.000
Mn3 0.500 0.000 0.000
Au1 0.000 0.000 0.000
I1 0.500 0.500 0.500

Calculated values
Its symmetry is Pm-3m. The value obtained for the raw formation energy is 0.71 eV per atom. The calculation puts the energy above the most stable polymorph in this dataset at 0 meV/atom. The value obtained for the density of states at the Fermi level is 2.1 states/eV/f.u. For the total magnetic moment, the calculation gives 13.51 Bohr magnetons per cell.



(4)
A relaxed structure of LaMg2. Source: Alexandria via LeMat-Bulk, functional GGA-PBE.

Cell lengths 10.041, 10.041, 10.041 Å; angles 154.65, 154.65, 36.15 degrees
Element x y z (fractional)
La1 0.375 0.625 0.750
La2 0.625 0.375 0.250
Mg1 0.046 0.796 0.250
Mg2 0.204 0.954 0.250
Mg3 0.796 0.046 0.750
Mg4 0.954 0.204 0.750

Calculated values
Its symmetry is I4_1/amd. For the energy of formation from the pure elements, the calculation gives 7.2 kJ/mol of atoms. The value obtained for the density of states at the Fermi level is 3.7 states/eV/f.u. For the total magnetic moment, the calculation gives 0.00 Bohr magnetons per cell.



(5)
A relaxed structure of CaLa2Cu. Source: Alexandria via LeMat-Bulk, functional GGA-PBE.

Cell lengths 6.305, 6.305, 6.305 Å; angles 135.92, 135.92, 64.11 degrees
Element x y z (fractional)
Ca1 0.000 0.000 0.000
La1 0.500 0.500 0.000
La2 0.750 0.250 0.500
Cu1 0.250 0.750 0.500

Calculated values
Its symmetry is I-4m2. For the energy of formation from the pure elements, the calculation gives 21.1 kJ/mol of atoms. The calculation puts the energy above the most stable polymorph in this dataset at 250 meV/atom. The value obtained for the density of states at the Fermi level is 6.6 states/eV/f.u. For the total magnetic moment, the calculation gives 0.00 Bohr magnetons per cell.



What is the total magnetic moment in the fourth record? 0.00 Bohr magnetons per cell